DFT (GGA-PBE) results for an optimized crystal structure of Dy2Ho2Mg15.

a b c (Å): 7.894 7.894 7.894
angles (deg): 82.87 82.87 82.87
Element x y z (fractional)
Dy 0.099 0.099 0.099
Dy 0.901 0.901 0.901
Ho 0.328 0.328 0.328
Ho 0.672 0.672 0.672
Mg 0.500 0.000 0.000
Mg 0.000 0.000 0.500
Mg 0.000 0.500 0.000
Mg 0.000 0.700 0.300
Mg 0.700 0.300 0.000
Mg 0.300 0.000 0.700
Mg 0.300 0.700 0.000
Mg 0.700 0.000 0.300
Mg 0.000 0.300 0.700
Mg 0.157 0.642 0.642
Mg 0.642 0.642 0.157
Mg 0.642 0.157 0.642
Mg 0.843 0.358 0.358
Mg 0.358 0.358 0.843
Mg 0.358 0.843 0.358

Values from the calculation:
* symmetry: R-3m
* size of the total moment: 0.0 Bohr magnetons per cell
* mass density: 3.5 g cm⁻³
* formation energy: 0.73 eV per formula unit
* DOS at the Fermi energy: 14.2 states/eV/cell
* E: -41.55 eV per cell

DFT (GGA-PBE) results for an optimized crystal structure of Dy4HoMg4.

a b c (Å): 6.911 6.911 11.442
angles (deg): 90.00 90.00 90.00
Element x y z (fractional)
Dy 0.223 0.500 0.932
Dy 0.777 0.500 0.932
Dy 0.500 0.777 0.068
Dy 0.500 0.223 0.068
Dy 0.000 0.723 0.432
Dy 0.000 0.277 0.432
Dy 0.277 0.000 0.568
Dy 0.723 0.000 0.568
Ho 0.000 0.000 0.000
Ho 0.500 0.500 0.500
Mg 0.500 0.773 0.776
Mg 0.500 0.227 0.776
Mg 0.773 0.500 0.224
Mg 0.227 0.500 0.224
Mg 0.273 0.000 0.276
Mg 0.727 0.000 0.276
Mg 0.000 0.273 0.724
Mg 0.000 0.727 0.724

Values from the calculation:
* symmetry: P4_2/nmc
* size of the total moment: 0.0 Bohr magnetons per cell
* mass density: 5.5 g cm⁻³
* formation energy: 2.40 eV per formula unit
* DOS at the Fermi energy: 20.6 states/eV/cell
* E: -53.94 eV per cell

DFT (GGA-PBE) results for an optimized crystal structure of Dy2Ho8Mg.

a b c (Å): 6.369 9.311 9.311
angles (deg): 41.49 71.11 71.11
Element x y z (fractional)
Dy 0.884 0.727 0.727
Dy 0.116 0.273 0.273
Ho 0.286 0.342 0.852
Ho 0.714 0.148 0.658
Ho 0.317 0.797 0.797
Ho 0.683 0.203 0.203
Ho 0.286 0.852 0.342
Ho 0.714 0.658 0.148
Ho 0.752 0.571 0.571
Ho 0.248 0.429 0.429
Mg 0.000 0.000 0.000

Values from the calculation:
* symmetry: C2/m
* size of the total moment: 0.0 Bohr magnetons per cell
* mass density: 8.1 g cm⁻³
* formation energy: 2.13 eV per formula unit
* DOS at the Fermi energy: 15.8 states/eV/cell
* E: -45.29 eV per cell

DFT (GGA-PBE) results for an optimized crystal structure of Dy5Ho2Mg5.

a b c (Å): 3.600 8.712 11.655
angles (deg): 71.46 81.12 78.08
Element x y z (fractional)
Dy 0.500 0.500 0.500
Dy 0.334 0.311 0.020
Dy 0.447 0.863 0.243
Dy 0.553 0.137 0.757
Dy 0.666 0.689 0.980
Ho 0.878 0.487 0.758
Ho 0.122 0.513 0.242
Mg 0.830 0.841 0.500
Mg 0.225 0.826 0.723
Mg 0.775 0.174 0.277
Mg 0.170 0.159 0.500
Mg 0.000 0.000 0.000

Values from the calculation:
* symmetry: C2/m
* size of the total moment: 0.0 Bohr magnetons per cell
* mass density: 6.2 g cm⁻³
* formation energy: -0.39 eV per formula unit
* DOS at the Fermi energy: 13.1 states/eV/cell
* E: -40.53 eV per cell

DFT (GGA-PBE) results for an optimized crystal structure of Dy4HoMg.

a b c (Å): 3.545 3.545 14.359
angles (deg): 90.00 90.00 90.00
Element x y z (fractional)
Dy 0.500 0.500 0.174
Dy 0.000 0.000 0.654
Dy 0.000 0.000 0.346
Dy 0.500 0.500 0.826
Ho 0.000 0.000 0.000
Mg 0.500 0.500 0.500

Values from the calculation:
* symmetry: P4/mmm
* size of the total moment: 0.0 Bohr magnetons per cell
* mass density: 7.7 g cm⁻³
* formation energy: -0.08 eV per formula unit
* DOS at the Fermi energy: 8.1 states/eV/cell
* E: -24.66 eV per cell

DFT (GGA-PBE) results for an optimized crystal structure of DyHo3Mg4.

a b c (Å): 3.776 3.776 15.136
angles (deg): 90.00 90.00 90.00
Element x y z (fractional)
Mg 0.000 0.000 0.875
Mg 0.000 0.000 0.125
Mg 0.000 0.000 0.375
Mg 0.000 0.000 0.625
Ho 0.500 0.500 0.250
Ho 0.500 0.500 0.500
Ho 0.500 0.500 0.750
Dy 0.500 0.500 0.000

Values from the calculation:
* symmetry: P4/mmm
* size of the total moment: 0.0 Bohr magnetons per cell
* mass density: 5.8 g cm⁻³
* formation energy: -0.61 eV per formula unit
* DOS at the Fermi energy: 10.4 states/eV/cell
* E: -25.32 eV per cell

no.,V (Å³/cell)
1,481
2,546
3,343
4,338
5,180
6,216